Record 1
Entry from Alexandria via LeMat-Bulk: a geometry-optimized TiIN3 structure (PBE).

The structure in POSCAR format:
```
TiIN3
1.0
3.951 0.000 0.000
0.000 3.951 0.000
0.000 0.000 3.951
N Ti I
3 1 1
direct
0.000 0.000 0.500 N
0.000 0.500 0.000 N
0.500 0.000 0.000 N
0.500 0.500 0.500 Ti
0.000 0.000 0.000 I
```

E_form (uncorrected) = 8.895 eV/f.u.

Record 2
Entry from Alexandria via LeMat-Bulk: a geometry-optimized PuMnBe structure (PBE).

The structure in POSCAR format:
```
PuMnBe
1.0
-0.102 -0.990 -2.997
3.629 -2.006 0.540
-3.610 -1.965 0.772
Pu Be Mn
1 1 1
direct
0.666 0.667 0.333 Pu
0.167 0.000 0.000 Be
0.167 0.333 0.667 Mn
```

ΔE_f = 144 meV/atom

Record 3
Entry from Alexandria via LeMat-Bulk: a geometry-optimized PrHfCd structure (PBE).

The structure in POSCAR format:
```
PrHfCd
1.0
-2.137 0.273 2.667
0.374 -3.347 0.642
6.059 2.885 2.356
Cd Hf Pr
1 1 1
direct
0.319 0.319 0.637 Cd
0.679 0.679 0.357 Hf
0.003 0.003 0.006 Pr
```

ΔE_f = -3 meV/atom

| no. | total moment (μB/cell) |
| --- | --- |
| 1 | 0.0 |
| 2 | 2.5 |
| 3 | 0.0 |